The following is a PBE calculation of crystalline Sm3Bi2Ru at its relaxed geometry, from Alexandria via LeMat-Bulk.

Its magnetic moment is 0.000 μB per formula unit. For the total energy, the calculation gives -5.62 eV/atom. As for the energy relative to the elements: -0.42 eV/atom.

a b c (Å): 8.654 12.116 7.113
angles (deg): 90.00 106.16 90.00
Space group C2/c (No. 15)
One atom of each set of equivalent atoms:
Sm: 0.179 0.067 0.487 [8 per cell]
Sm: 0.250 0.250 0.000 [4 per cell]
Bi: 0.000 0.284 0.250 [4 per cell]
Bi: 0.000 0.424 0.750 [4 per cell]
Ru: 0.000 0.115 0.750 [4 per cell]

***

The following is a PBE calculation of crystalline Cs2LiZrI6 at its relaxed geometry, from Alexandria via LeMat-Bulk.

Its magnetic moment is 1.001 μB per formula unit. The calculation puts the formation energy (no corrections) at -1201 meV/atom. For the total energy, the calculation gives -3.35 eV/atom.

a b c (Å): 8.4370 8.4370 41.9216
angles (deg): 90.00 90.00 120.00
Space group R-3m (No. 166, hexagonal axes)
One atom of each set of equivalent atoms:
Cs: 0.0000 0.0000 0.1234 [6 per cell]
Cs: 0.0000 0.0000 0.2956 [6 per cell]
Li: 0.0000 0.0000 0.4197 [6 per cell]
Zr: 0.0000 0.0000 0.0000 [3 per cell]
Zr: 0.0000 0.0000 0.5000 [3 per cell]
I: 0.0054 0.5027 0.7072 [18 per cell]
I: 0.0059 0.5029 0.1259 [18 per cell]

***

The following is a PBE calculation of crystalline PaSiSb at its relaxed geometry, from Alexandria via LeMat-Bulk.

Its magnetic moment is 0.241 μB per formula unit. The calculation puts the formation energy (no corrections) at -422 meV/atom. For the total energy, the calculation gives -6.77 eV/atom.

a b c (Å): 4.240 16.021 4.093
angles (deg): 90.00 90.00 90.00
Space group Cmcm (No. 63)
One atom of each set of equivalent atoms:
Pa: 0.000 0.095 0.250 [4 per cell]
Si: 0.000 0.456 0.250 [4 per cell]
Sb: 0.000 0.251 0.750 [4 per cell]

***

The following is a PBE calculation of crystalline LaSb2As2 at its relaxed geometry, from Alexandria via LeMat-Bulk.

Its magnetic moment is 0.000 μB per formula unit. The calculation puts the formation energy (no corrections) at -348 meV/atom. For the total energy, the calculation gives -4.84 eV/atom.

a b c (Å): 4.314 4.314 14.616
angles (deg): 90.00 90.00 90.00
Space group I4/mmm (No. 139)
One atom of each set of equivalent atoms:
La: 0.000 0.000 0.000 [2 per cell]
Sb: 0.000 0.500 0.250 [4 per cell]
As: 0.000 0.000 0.415 [4 per cell]

***

The following is a PBE calculation of crystalline Ta2CoW at its relaxed geometry, from Alexandria via LeMat-Bulk.

Its magnetic moment is 1.380 μB per formula unit. For the total energy, the calculation gives -10.87 eV/atom. As for the energy relative to the elements: 0.07 eV/atom.

a b c (Å): 3.225 4.368 4.517
angles (deg): 90.00 90.00 90.00
Space group Pmmm (No. 47)
One atom of each set of equivalent atoms:
Ta: 0.000 0.000 0.000 [1 per cell]
Ta: 0.500 0.000 0.500 [1 per cell]
Co: 0.000 0.500 0.500 [1 per cell]
W: 0.500 0.500 0.000 [1 per cell]

***

The following is a PBE calculation of crystalline TaSi4 at its relaxed geometry, from Alexandria via LeMat-Bulk.

Its magnetic moment is 0.000 μB per formula unit. The calculation puts the formation energy (no corrections) at 1031 meV/atom. For the total energy, the calculation gives -5.68 eV/atom.

a b c (Å): 4.873 4.873 4.873
angles (deg): 90.00 90.00 90.00
Space group Pm-3m (No. 221)
One atom of each set of equivalent atoms:
Ta: 0.000 0.000 0.000 [1 per cell]
Si: 0.000 0.000 0.500 [3 per cell]
Si: 0.500 0.500 0.500 [1 per cell]